# Li3V3B2O10 PBE with a Hubbard U relaxed
data_Li3V3B2O10
_chemical_formula_sum 'Li6 V6 B4 O20'
_symmetry_space_group_name_H-M 'P 1'
_symmetry_Int_Tables_number 1
_symmetry_space_group_name_Hall 'P 1'
_cell_length_a 3.013
_cell_length_b 9.333
_cell_length_c 12.166
_cell_angle_alpha 91.44
_cell_angle_beta 90.09
_cell_angle_gamma 90.74
loop_
_atom_site_label
_atom_site_fract_x
_atom_site_fract_y
_atom_site_fract_z
Li1 0.000 0.000 0.000
Li2 0.001 0.520 0.496
Li3 0.021 0.513 0.215
Li4 0.483 0.790 0.880
Li5 0.499 0.018 0.494
Li6 0.989 0.542 0.771
V1 0.002 0.016 0.716
V2 0.481 0.750 0.386
V3 0.514 0.254 0.108
V4 0.518 0.286 0.605
V5 0.546 0.522 0.993
V6 0.995 0.012 0.277
B1 0.500 0.286 0.354
B2 0.501 0.747 0.639
B3 0.502 0.786 0.126
B4 0.503 0.246 0.864
O1 0.001 0.127 0.149
O2 0.005 0.617 0.934
O3 0.013 0.142 0.577
O4 0.018 0.635 0.351
O5 0.029 0.401 0.064
O6 0.478 0.358 0.455
O7 0.489 0.677 0.732
O8 0.492 0.864 0.037
O9 0.493 0.391 0.859
O10 0.493 0.861 0.235
O11 0.497 0.905 0.641
O12 0.499 0.133 0.352
O13 0.501 0.166 0.955
O14 0.507 0.168 0.757
O15 0.517 0.358 0.258
O16 0.524 0.681 0.535
O17 0.526 0.638 0.132
O18 0.981 0.400 0.641
O19 0.989 0.894 0.416
O20 0.995 0.932 0.836
# energy = -7.224 eV per atom
# magnetization = 8.00 μB per cell
# offset from the most stable computed form = 0.20 kcal/mol of atoms